No. 1
The following is a DFT calculation (SCAN) of a PBEsol-optimized structure of Zr2ScW2.

Computed properties:
Total magnetization ... 0.00 Bohr magnetons per cell
Formation energy ... 0.610 eV/atom
Energy ... -211.96 eV per formula unit
Symmetry ... I4/mmm (139)
Density of states at the Fermi level ... 1.03 states/eV per atom

The structure in POSCAR format:
```
Zr2ScW2
1.0
-1.478 -3.442 1.838
3.872 -1.538 0.233
-0.494 5.085 4.389
Sc Zr W
1 2 2
direct
0.000 0.000 0.000
0.250 0.750 0.500
0.750 0.250 0.500
0.402 0.402 0.804
0.598 0.598 0.196
```



No. 2
The following is a DFT calculation (SCAN) of a PBEsol-optimized structure of ZrSc2W.

Computed properties:
Total magnetization ... 0.00 Bohr magnetons per cell
Formation energy ... 0.261 eV/atom
E above lowest polymorph ... 0.00 eV/f.u.
Energy ... -127.82 eV per formula unit
Symmetry ... P4/mmm (123)
Density of states at the Fermi level ... 0.89 states/eV per atom

The structure in POSCAR format:
```
ZrSc2W
1.0
4.100 0.000 0.000
0.000 4.100 0.000
0.000 0.000 4.713
Sc W Zr
2 1 1
direct
0.000 0.500 0.000
0.500 0.000 0.000
0.500 0.500 0.500
0.000 0.000 0.500
```



No. 3
The following is a DFT calculation (SCAN) of a PBEsol-optimized structure of ZrScW2.

Computed properties:
Total magnetization ... 0.00 Bohr magnetons per cell
Formation energy ... 0.487 eV/atom
E above lowest polymorph ... 0.37 eV/f.u.
Energy ... -182.36 eV per formula unit
Symmetry ... Fm-3m (225)
Density of states at the Fermi level ... 1.78 states/eV per atom

The structure in POSCAR format:
```
ZrScW2
1.0
-4.086 -2.092 -0.813
-0.126 -4.540 -1.049
-1.707 -3.057 3.078
Sc W Zr
1 2 1
direct
0.000 0.000 0.000
0.250 0.250 0.250
0.750 0.750 0.750
0.500 0.500 0.500
```



No. 4
The following is a DFT calculation (SCAN) of a PBEsol-optimized structure of ZrScW2.

Computed properties:
Total magnetization ... 0.00 Bohr magnetons per cell
Formation energy ... 0.394 eV/atom
E above lowest polymorph ... 0.00 eV/f.u.
Energy ... -182.74 eV per formula unit
Symmetry ... I4/mmm (139)
Density of states at the Fermi level ... 0.97 states/eV per atom

The structure in POSCAR format:
```
ZrScW2
1.0
-0.306 3.159 2.288
-3.783 0.320 -0.948
0.898 -4.490 2.975
Sc W Zr
1 2 1
direct
0.000 0.000 0.000
0.750 0.250 0.500
0.250 0.750 0.500
0.500 0.500 0.000
```